# 1
VASP calculation (PBE) on a geometry-optimized NaSr2Tm structure.

a = 3.7780 Å, b = 3.7780 Å, c = 13.9279 Å
α = 82.21°, β = 82.21°, γ = 60.00°
Last column: nearest neighbours and their distance in Å.
Atoms (fractional coordinates):
Tm (0.0000, 0.0000, 0.0000)  2 Sr 3.51, 6 Tm 3.78
Sr (0.0851, 0.0851, 0.7448)  1 Tm 3.51, 6 Sr 3.78
Sr (0.9149, 0.9149, 0.2552)  1 Tm 3.51, 6 Sr 3.78
Na (0.5000, 0.5000, 0.5000)  6 Na 3.78, 6 Sr 4.01

Computed properties:
The energy above the most stable polymorph in this dataset is 194.6 meV per atom. The space group is No. 166.



# 2
VASP calculation (PBE) on a geometry-optimized Ti2Fe structure.

a = 7.9252 Å, b = 7.9252 Å, c = 7.9252 Å
α = 60.00°, β = 60.00°, γ = 60.00°
Last column: nearest neighbours and their distance in Å.
Atoms (fractional coordinates):
Fe (0.8379, 0.4864, 0.8379)  6 Ti 2.46-2.59
Fe (0.4121, 0.4121, 0.7636)  6 Ti 2.46-2.59
Fe (0.8379, 0.8379, 0.4864)  6 Ti 2.46-2.59
Fe (0.8379, 0.8379, 0.8379)  6 Ti 2.46-2.59
Fe (0.4121, 0.7636, 0.4121)  6 Ti 2.46-2.59
Fe (0.4864, 0.8379, 0.8379)  6 Ti 2.46-2.59
Fe (0.7636, 0.4121, 0.4121)  6 Ti 2.46-2.59
Fe (0.4121, 0.4121, 0.4121)  6 Ti 2.46-2.59
Ti (0.1883, 0.8117, 0.8117)  4 Fe 2.59-2.87, 2 Ti 2.88
Ti (0.8117, 0.1883, 0.8117)  4 Fe 2.59-2.87, 2 Ti 2.88
Ti (0.8117, 0.8117, 0.1883)  4 Fe 2.59-2.87, 2 Ti 2.88
Ti (0.1883, 0.1883, 0.8117)  4 Fe 2.59-2.87, 2 Ti 2.88
Ti (0.0617, 0.4383, 0.0617)  4 Fe 2.59-2.87, 2 Ti 2.88
Ti (0.6250, 0.6250, 0.1250)  6 Fe 2.46
Ti (0.4383, 0.0617, 0.0617)  4 Fe 2.59-2.87, 2 Ti 2.88
Ti (0.1250, 0.6250, 0.6250)  6 Fe 2.46
Ti (0.4383, 0.0617, 0.4383)  4 Fe 2.59-2.87, 2 Ti 2.88
Ti (0.6250, 0.1250, 0.6250)  6 Fe 2.46
Ti (0.1883, 0.8117, 0.1883)  4 Fe 2.59-2.87, 2 Ti 2.88
Ti (0.8117, 0.1883, 0.1883)  4 Fe 2.59-2.87, 2 Ti 2.88
Ti (0.0617, 0.4383, 0.4383)  4 Fe 2.59-2.87, 2 Ti 2.88
Ti (0.4383, 0.4383, 0.0617)  4 Fe 2.59-2.87, 2 Ti 2.88
Ti (0.6250, 0.6250, 0.6250)  6 Fe 2.46
Ti (0.0617, 0.0617, 0.4383)  4 Fe 2.59-2.87, 2 Ti 2.88

Computed properties:
The space group is No. 227. For the total energy, the calculation gives -8.30 eV/atom.



# 3
VASP calculation (PBE) on a geometry-optimized Nd4Zn3Ni structure.

a = 3.6422 Å, b = 3.6422 Å, c = 14.5650 Å
α = 90.00°, β = 90.00°, γ = 90.00°
Last column: nearest neighbours and their distance in Å.
Atoms (fractional coordinates):
Ni (0.5000, 0.5000, 0.0000)  8 Nd 3.07
Nd (0.0000, 0.0000, 0.3721)  8 Zn 3.17-3.18
Nd (0.0000, 0.0000, 0.6279)  8 Zn 3.17-3.18
Nd (0.0000, 0.0000, 0.1144)  4 Ni 3.07, 4 Zn 3.21, 1 Nd 3.33
Nd (0.0000, 0.0000, 0.8856)  4 Ni 3.07, 4 Zn 3.21, 1 Nd 3.33
Zn (0.5000, 0.5000, 0.5000)  8 Nd 3.18
Zn (0.5000, 0.5000, 0.7542)  8 Nd 3.17-3.21
Zn (0.5000, 0.5000, 0.2458)  8 Nd 3.17-3.21

Computed properties:
The energy above the most stable polymorph in this dataset is 0.0 meV per atom. The space group is No. 123.



# 4
VASP calculation (PBE) on a geometry-optimized Tl3Cd2Bi4 structure.

a = 6.7143 Å, b = 9.6498 Å, c = 9.6498 Å
α = 61.14°, β = 90.00°, γ = 90.00°
Last column: nearest neighbours and their distance in Å.
Atoms (fractional coordinates):
Bi (0.5001, 0.1712, 0.8277)  1 Cd 3.21, 4 Bi 3.24-3.37
Bi (0.4999, 0.5070, 0.8266)  2 Bi 3.24-3.28, 3 Cd 3.27-3.36, 4 Tl 3.59-3.60
Bi (0.0001, 0.1734, 0.4930)  2 Bi 3.24-3.28, 3 Cd 3.27-3.36, 4 Tl 3.59-3.60
Bi (0.5001, 0.4930, 0.1734)  2 Bi 3.24-3.28, 3 Cd 3.27-3.36, 4 Tl 3.59-3.60
Bi (0.0001, 0.8277, 0.1712)  1 Cd 3.21, 4 Bi 3.24-3.37
Bi (0.9999, 0.1723, 0.8288)  1 Cd 3.21, 4 Bi 3.24-3.37
Bi (0.4999, 0.8288, 0.1723)  1 Cd 3.21, 4 Bi 3.24-3.37
Bi (0.9999, 0.8266, 0.5070)  2 Bi 3.24-3.28, 3 Cd 3.27-3.36, 4 Tl 3.59-3.60
Tl (0.7500, 0.8324, 0.8325)  2 Tl 3.36, 8 Bi 3.59-3.74, 4 Cd 3.60-3.62
Tl (0.2500, 0.5000, 0.5000)  2 Tl 3.36, 8 Bi 3.60-3.63, 4 Cd 3.71
Tl (0.2500, 0.8325, 0.8324)  2 Tl 3.36, 8 Bi 3.59-3.74, 4 Cd 3.60-3.62
Tl (0.2500, 0.1676, 0.1675)  2 Tl 3.36, 8 Bi 3.59-3.74, 4 Cd 3.60-3.62
Tl (0.7500, 0.1675, 0.1676)  2 Tl 3.36, 8 Bi 3.59-3.74, 4 Cd 3.60-3.62
Tl (0.7500, 0.5000, 0.5000)  2 Tl 3.36, 8 Bi 3.60-3.63, 4 Cd 3.71
Cd (0.5000, 0.8438, 0.4972)  1 Cd 3.04, 4 Bi 3.21-3.36
Cd (0.0000, 0.4972, 0.8438)  1 Cd 3.04, 4 Bi 3.21-3.36
Cd (0.0000, 0.5028, 0.1562)  1 Cd 3.04, 4 Bi 3.21-3.36
Cd (0.5000, 0.1562, 0.5028)  1 Cd 3.04, 4 Bi 3.21-3.36

Computed properties:
The space group is No. 66. For the total energy, the calculation gives -2.69 eV/atom.



# 5
VASP calculation (PBE) on a geometry-optimized Tb2SiS structure.

a = 3.9058 Å, b = 4.0996 Å, c = 11.0844 Å
α = 100.66°, β = 90.00°, γ = 90.00°
Last column: nearest neighbours and their distance in Å.
Atoms (fractional coordinates):
S (0.2500, 0.1921, 0.3843)  6 Tb 2.73-2.84
S (0.7500, 0.8079, 0.6157)  6 Tb 2.73-2.84
Tb (0.2500, 0.0667, 0.1334)  1 S 2.73, 4 Si 2.89
Tb (0.2500, 0.3198, 0.6395)  5 S 2.78-2.84, 1 Si 3.07
Tb (0.7500, 0.6802, 0.3605)  5 S 2.78-2.84, 1 Si 3.07
Tb (0.7500, 0.9333, 0.8666)  1 S 2.73, 4 Si 2.89
Si (0.7500, 0.5393, 0.0786)  2 Si 2.60, 4 Tb 2.89
Si (0.2500, 0.4607, 0.9214)  2 Si 2.60, 4 Tb 2.89

Computed properties:
The energy above the most stable polymorph in this dataset is 0.0 meV per atom. The space group is No. 63. For the formation energy without anion corrections, the calculation gives -1419 meV per atom.



# 6
VASP calculation (PBE) on a geometry-optimized Ru2WSe structure.

a = 2.7918 Å, b = 2.7918 Å, c = 9.0744 Å
α = 90.00°, β = 90.00°, γ = 116.99°
Last column: nearest neighbours and their distance in Å.
Atoms (fractional coordinates):
W (0.5000, 0.5000, 0.7626)  2 Ru 2.60, 4 W 2.79, 2 Se 2.89
Ru (0.5000, 0.5000, 0.2505)  2 Se 2.60, 6 Ru 2.70-2.79
Ru (0.0000, 0.0000, 0.9997)  2 W 2.60, 6 Ru 2.70-2.79
Se (0.0000, 0.0000, 0.4872)  2 Ru 2.60, 4 Se 2.79, 2 W 2.89

Computed properties:
The space group is No. 35. For the formation energy without anion corrections, the calculation gives 652 meV per atom.



# 7
VASP calculation (PBE) on a geometry-optimized SrHf3Fe structure.

a = 4.9812 Å, b = 4.9812 Å, c = 4.9812 Å
α = 90.00°, β = 90.00°, γ = 90.00°
Last column: nearest neighbours and their distance in Å.
Atoms (fractional coordinates):
Fe (0.5000, 0.5000, 0.5000)  12 Hf 3.52
Hf (0.0000, 0.5000, 0.0000)  2 Sr 2.49
Hf (0.5000, 0.0000, 0.0000)  2 Sr 2.49
Hf (0.0000, 0.0000, 0.5000)  2 Sr 2.49
Sr (0.0000, 0.0000, 0.0000)  6 Hf 2.49

Computed properties:
The energy above the most stable polymorph in this dataset is 2307.9 meV per atom. The space group is No. 221.



# 8
VASP calculation (PBE) on a geometry-optimized YZr2P structure.

a = 3.6429 Å, b = 3.6429 Å, c = 8.6366 Å
α = 77.83°, β = 77.83°, γ = 60.00°
Last column: nearest neighbours and their distance in Å.
Atoms (fractional coordinates):
Y (0.5003, 0.5003, 0.4990)  6 Zr 3.42-3.44, 6 Y 3.64
P (0.6669, 0.6669, 0.9994)  6 Zr 2.56-2.58
Zr (0.0584, 0.0584, 0.8247)  3 P 2.56
Zr (0.2744, 0.2744, 0.1769)  3 P 2.58

Computed properties:
The space group is No. 160. For the total energy, the calculation gives -7.88 eV/atom.



# 9
VASP calculation (PBE) on a geometry-optimized Sr2ZrScBe structure.

a = 6.0344 Å, b = 5.1228 Å, c = 6.0344 Å
α = 90.00°, β = 90.00°, γ = 90.00°
Last column: nearest neighbours and their distance in Å.
Atoms (fractional coordinates):
Zr (0.0000, 0.0000, 0.0000)  2 Sc 2.56
Sr (0.5000, 0.0000, 0.0000)  2 Zr 3.02
Sr (0.0000, 0.0000, 0.5000)  2 Zr 3.02
Be (0.5000, 0.5000, 0.5000)  8 Sr 3.96, 4 Sc 4.27
Sc (0.0000, 0.5000, 0.0000)  2 Zr 2.56

Computed properties:
The space group is No. 123. For the total energy, the calculation gives -3.15 eV/atom.



Respective ρ values: 3.59; 5.72; 7.15; 10.15; 7.20; 12.25; 9.12; 5.21; 2.85 g cm⁻³.